The following is a PBE calculation of an optimized crystal structure of Ce2Ge3Rh4Au, from Alexandria.

The structure belongs to space group P-4m2 (No. 115); the cell edges are 4.0566, 4.0566 and 11.3627 Å and the angles 90.00°, 90.00° and 90.00°. The asymmetric unit holds Ce at (0.0000, 0.5000, 0.2407), Ge at (0.0000, 0.0000, 0.0000), Ge at (0.0000, 0.5000, 0.6210), Rh at (0.0000, 0.0000, 0.5000), Rh at (0.0000, 0.5000, 0.8331), Rh at (0.5000, 0.5000, 0.5000) and Au at (0.5000, 0.5000, 0.0000).

Its formation energy is -7.59 eV/f.u. Its density of states at the Fermi level is 0.9638 states/eV per atom.

***

The following is a PBE calculation of an optimized crystal structure of CdSn2Pt, from Alexandria.

The structure belongs to space group R3m (No. 160, hexagonal axes); the cell edges are 4.4413, 4.4413 and 17.1471 Å and the angles 90.00°, 90.00° and 120.00°. The asymmetric unit holds Cd at (0.0000, 0.0000, 0.0000), Sn at (0.0000, 0.0000, 0.2253), Sn at (0.0000, 0.0000, 0.4312) and Pt at (0.0000, 0.0000, 0.8335).

Its formation energy is -0.91 eV/f.u. Its density of states at the Fermi level is 0.3693 states/eV per atom.

***

The following is a PBE calculation of an optimized crystal structure of K2Np3GeS8, from Alexandria.

The structure belongs to space group R3m (No. 160, hexagonal axes); the cell edges are 8.0074, 8.0074 and 23.1675 Å and the angles 90.00°, 90.00° and 120.00°. The asymmetric unit holds K at (0.0000, 0.0000, 0.0000), K at (0.0000, 0.0000, 0.3647), Np at (0.0046, 0.5023, 0.8651), Ge at (0.0000, 0.0000, 0.7614), S at (0.0000, 0.0000, 0.1354), S at (0.0000, 0.0000, 0.5889), S at (0.1694, 0.3387, 0.4690) and S at (0.1829, 0.3658, 0.9262).

The uncorrected formation energy comes out at -1.1262 eV/atom. Its density of states at the Fermi level is 1.9225 states/eV per atom.

***

The following is a PBE calculation of an optimized crystal structure of CaMg10Pd3, from Alexandria.

The structure belongs to space group Fm-3m (No. 225); the cell edges are 13.6796, 13.6796 and 13.6796 Å and the angles 90.00°, 90.00° and 90.00°. The asymmetric unit holds Ca at (0.2500, 0.2500, 0.2500), Mg at (0.0000, 0.1690, 0.1690), Mg at (0.1124, 0.1124, 0.3876) and Pd at (0.0000, 0.0000, 0.2672).

Its formation energy is -4.40 eV/f.u. Its density of states at the Fermi level is 0.4508 states/eV per atom.